Entry 1:
# ZnAgMo

Crystalline ZnAgMo at its relaxed geometry (PBE-GGA, the Open Quantum Materials Database).

## Properties
Energy of formation in meV/atom: 896
Calculated density in kg/m³: 8298
Energy relative to the lowest polymorph listed for this composition in meV/atom: 0
Final energy in Ha/atom: -0.150
Space group: F-43m

Lattice parameters (Å, degrees): 4.239 4.239 4.239 60.00 60.00 60.00
Fractional coordinates of all 3 atoms:
Zn1 0.000 0.000 0.000
Ag1 0.750 0.750 0.750
Mo1 0.250 0.250 0.250

Entry 2:
# Zr2AgMo

Crystalline Zr2AgMo at its relaxed geometry (PBE-GGA, the Open Quantum Materials Database).

## Properties
Energy of formation in meV/atom: 480
Calculated density in kg/m³: 7907
Energy relative to the lowest polymorph listed for this composition in meV/atom: 198
Final energy in Ha/atom: -0.265
Space group: P3m1

Lattice parameters (Å, degrees): 3.265 3.265 8.786 90.00 90.00 120.00
Fractional coordinates of all 4 atoms:
Zr1 0.000 0.000 0.000
Zr2 0.333 0.667 0.505
Ag1 0.667 0.333 0.253
Mo1 0.000 0.000 0.726

Entry 3:
# Ag3N

Crystalline Ag3N at its relaxed geometry (PBE-GGA, the Open Quantum Materials Database).

## Properties
Calculated density in kg/m³: 7771
Energy relative to the lowest polymorph listed for this composition in meV/atom: 86
Final energy in Ha/atom: -0.121
Space group: P4/mmm

Lattice parameters (Å, degrees): 4.165 4.165 8.318 90.00 90.00 90.00
Fractional coordinates of all 8 atoms:
Ag1 0.000 0.000 0.172
Ag2 0.000 0.000 0.828
Ag3 0.000 0.500 0.500
Ag4 0.500 0.000 0.500
Ag5 0.500 0.500 0.237
Ag6 0.500 0.500 0.763
N1 0.500 0.500 0.000
N2 0.500 0.500 0.500

Entry 4:
# Ag5N

Crystalline Ag5N at its relaxed geometry (PBE-GGA, the Open Quantum Materials Database).

## Properties
Calculated density in kg/m³: 7852
Final energy in Ha/atom: -0.097
Space group: P6/mmm

Lattice parameters (Å, degrees): 5.304 5.304 4.802 90.00 90.00 120.00
Fractional coordinates of all 6 atoms:
Ag1 0.000 0.500 0.000
Ag2 0.333 0.667 0.500
Ag3 0.500 0.000 0.000
Ag4 0.500 0.500 0.000
Ag5 0.667 0.333 0.500
N1 0.000 0.000 0.500